# LaDy6Tm4

Crystalline LaDy6Tm4 at its relaxed geometry (GGA-PBE, the Alexandria database).

Lattice parameters (Å, degrees): 5.5959 5.5959 25.6294 90.00 90.00 119.04
Atoms (fractional coordinates):
1 La 0.1845 0.8155 0.7500
2 La 0.8155 0.1845 0.2500
3 Dy 0.1472 0.8528 0.1795
4 Dy 0.1472 0.8528 0.3205
5 Dy 0.1839 0.8161 0.5993
6 Dy 0.1839 0.8161 0.9007
7 Dy 0.4809 0.5191 0.2500
8 Dy 0.5000 0.5000 0.0000
9 Dy 0.5000 0.5000 0.5000
10 Dy 0.5191 0.4809 0.7500
11 Dy 0.8161 0.1839 0.0993
12 Dy 0.8161 0.1839 0.4007
13 Dy 0.8528 0.1472 0.6795
14 Dy 0.8528 0.1472 0.8205
15 Tm 0.1597 0.8403 0.0418
16 Tm 0.1597 0.8403 0.4582
17 Tm 0.4786 0.5214 0.1218
18 Tm 0.4786 0.5214 0.3782
19 Tm 0.5214 0.4786 0.6218
20 Tm 0.5214 0.4786 0.8782
21 Tm 0.8403 0.1597 0.5418
22 Tm 0.8403 0.1597 0.9582

Output
formation enthalpy at 0 K	0.12	eV/atom
mass density	8.47	g cm⁻³
space-group type	Cmcm (63)

***

# La2DyTm4

Crystalline La2DyTm4 at its relaxed geometry (GGA-PBE, the Alexandria database).

Lattice parameters (Å, degrees): 7.0756 8.6199 8.8456 114.28 101.76 101.99
Atoms (fractional coordinates):
1 La 0.0000 0.0000 0.0000
2 La 0.0813 0.5205 0.8353
3 La 0.5968 0.5308 0.8342
4 La 0.7839 0.8617 0.2920
5 Dy 0.3088 0.6851 0.5595
6 Dy 0.6640 0.2605 0.4193
7 Tm 0.1718 0.2664 0.4294
8 Tm 0.1999 0.0893 0.7017
9 Tm 0.2835 0.8630 0.2914
10 Tm 0.3930 0.4194 0.1657
11 Tm 0.4882 0.9820 0.9909
12 Tm 0.6921 0.0878 0.7010
13 Tm 0.8119 0.6866 0.5660
14 Tm 0.8904 0.4177 0.1668

Output
formation enthalpy at 0 K	0.04	eV/atom
mass density	8.14	g cm⁻³
space-group type	P1 (1)

***

# La5Dy2Tm2

Crystalline La5Dy2Tm2 at its relaxed geometry (GGA-PBE, the Alexandria database).

Lattice parameters (Å, degrees): 6.3071 6.3165 8.1171 75.21 82.54 80.44
Atoms (fractional coordinates):
1 La 0.0000 0.0000 0.0000
2 La 0.2224 0.1121 0.5550
3 La 0.3361 0.6657 0.3286
4 La 0.6639 0.3343 0.6714
5 La 0.7776 0.8879 0.4450
6 Dy 0.1116 0.5584 0.7834
7 Dy 0.8884 0.4416 0.2166
8 Tm 0.4422 0.2268 0.1082
9 Tm 0.5578 0.7732 0.8918

Output
formation enthalpy at 0 K	0.03	eV/atom
mass density	7.34	g cm⁻³
space-group type	P-1 (2)

***

# LaDy9Tm2

Crystalline LaDy9Tm2 at its relaxed geometry (GGA-PBE, the Alexandria database).

Lattice parameters (Å, degrees): 5.0198 5.0198 15.1019 90.00 90.00 90.00
Atoms (fractional coordinates):
1 La 0.0000 0.0000 0.0000
2 Dy 0.0000 0.5000 0.1712
3 Dy 0.0000 0.5000 0.5000
4 Dy 0.0000 0.5000 0.8288
5 Dy 0.5000 0.0000 0.1712
6 Dy 0.5000 0.0000 0.5000
7 Dy 0.5000 0.0000 0.8288
8 Dy 0.5000 0.5000 0.0000
9 Dy 0.5000 0.5000 0.3365
10 Dy 0.5000 0.5000 0.6635
11 Tm 0.0000 0.0000 0.3350
12 Tm 0.0000 0.0000 0.6650

Output
formation enthalpy at 0 K	0.03	eV/atom
mass density	8.46	g cm⁻³
space-group type	P4/mmm (123)

***

mass density of number 4 (LaDy9Tm2)?
8.46 g cm⁻³

***

formation enthalpy at 0 K of number 2 (La2DyTm4)?
0.04 eV/atom